# 1
A relaxed ZrPaOsRh crystal, computed with PBE.

Properties
Crystal system = cubic
Symmetry = F-43m
E_form = -453 meV/atom
ρ = 13.28 Mg/m³
Total DFT energy (no corrections) = -38.44 eV/cell
V = 76.9 Å³/f.u.

Unit cell a=4.7738 b=4.7738 c=4.7738 alpha=60.00 beta=60.00 gamma=60.00
Last column: nearest neighbours and their distance in Å.
Positions (direct):
Os1 0.5000 0.5000 0.5000  4 Zr 2.92, 4 Pa 2.92
Rh1 0.0000 0.0000 0.0000  4 Zr 2.92, 4 Pa 2.92
Zr1 0.7500 0.7500 0.7500  4 Os 2.92, 4 Rh 2.92
Pa1 0.2500 0.2500 0.2500  4 Rh 2.92, 4 Os 2.92



# 2
A relaxed VGaBi3 crystal, computed with PBE.

Properties
Crystal system = cubic
Symmetry = Pm-3m
Offset from the most stable computed form = 545 meV/atom
E_form = 951 meV/atom
ρ = 7.71 Mg/m³
Total DFT energy (no corrections) = -19.03 eV/cell
V = 161.0 Å³/f.u.

Unit cell a=5.4400 b=5.4400 c=5.4400 alpha=90.00 beta=90.00 gamma=90.00
Last column: nearest neighbours and their distance in Å.
Positions (direct):
Bi1 0.0000 0.0000 0.5000  2 Ga 2.72
Bi2 0.5000 0.0000 0.0000  2 Ga 2.72
Bi3 0.0000 0.5000 0.0000  2 Ga 2.72
Ga1 0.0000 0.0000 0.0000  6 Bi 2.72
V1 0.5000 0.5000 0.5000  12 Bi 3.85



# 3
A relaxed TlZnSe2N crystal, computed with PBE.

Properties
Crystal system = tetragonal
Uncorrected formation energy = 0.65 eV/atom
Symmetry = P4/mmm
Offset from the most stable computed form = 0 meV/atom
ρ = 6.67 Mg/m³
Total DFT energy (no corrections) = -15.69 eV/cell
V = 110.0 Å³/f.u.

Unit cell a=5.4236 b=5.4236 c=3.7398 alpha=90.00 beta=90.00 gamma=90.00
Last column: nearest neighbours and their distance in Å.
Positions (direct):
Zn1 0.0000 0.0000 0.0000  2 N 1.87
Se1 0.0000 0.5000 0.0000  2 Zn 2.71
Se2 0.5000 0.0000 0.0000  2 Zn 2.71
N1 0.0000 0.0000 0.5000  2 Zn 1.87
Tl1 0.5000 0.5000 0.5000  8 Se 3.29



# 4
A relaxed Ba2ScSe crystal, computed with PBE.

Properties
Crystal system = tetragonal
Uncorrected formation energy = -0.59 eV/atom
Symmetry = P4mm
ρ = 4.56 Mg/m³
Total DFT energy (no corrections) = -16.03 eV/cell
V = 145.1 Å³/f.u.

Unit cell a=3.8333 b=3.8333 c=9.8746 alpha=90.00 beta=90.00 gamma=90.00
Last column: nearest neighbours and their distance in Å.
Positions (direct):
Ba1 0.5000 0.5000 0.3077  1 Se 3.53, 4 Ba 3.83, 4 Sc 3.86
Ba2 0.0000 0.0000 0.9408  1 Sc 3.50, 4 Ba 3.83, 4 Se 3.84
Se1 0.5000 0.5000 0.6647  4 Sc 2.82
Sc1 0.0000 0.0000 0.5867  4 Se 2.82



# 5
A relaxed AlAg5 crystal, computed with PBE.

Properties
Crystal system = trigonal
Symmetry = P-3m1
Offset from the most stable computed form = 31 meV/atom
E_form = 4 meV/atom
ρ = 8.92 Mg/m³
Total DFT energy (no corrections) = -17.98 eV/cell
V = 105.4 Å³/f.u.

Unit cell a=2.9509 b=13.9773 c=2.9509 alpha=90.00 beta=60.00 gamma=90.00
Last column: nearest neighbours and their distance in Å.
Positions (direct):
Ag1 0.6667 0.6768 0.6667  3 Al 2.77, 9 Ag 2.95
Ag2 0.0000 0.9899 0.0000  3 Al 2.77, 9 Ag 2.95
Ag3 0.3333 0.3333 0.3333  12 Ag 2.94-2.95
Ag4 0.6667 0.1623 0.6667  12 Ag 2.94-2.95
Ag5 0.0000 0.5043 0.0000  12 Ag 2.94-2.95
Al1 0.3333 0.8333 0.3333  6 Ag 2.77, 6 Al 2.95



# 6
A relaxed SrPm4Te5 crystal, computed with PBE.

Properties
Crystal system = tetragonal
Uncorrected formation energy = -1.45 eV/atom
Symmetry = I4/mmm
Offset from the most stable computed form = 10 meV/atom
ρ = 6.68 Mg/m³
Total DFT energy (no corrections) = -50.94 eV/cell
V = 324.7 Å³/f.u.

Unit cell a=4.5104 b=4.5104 c=16.2771 alpha=97.96 beta=97.96 gamma=90.00
Last column: nearest neighbours and their distance in Å.
Positions (direct):
Te1 0.2999 0.2999 0.5998  6 Pm 3.13-3.19
Te2 0.1020 0.1020 0.2040  5 Pm 3.18-3.19, 1 Sr 3.26
Te3 0.7001 0.7001 0.4002  6 Pm 3.13-3.19
Te4 0.8980 0.8980 0.7960  5 Pm 3.18-3.19, 1 Sr 3.26
Te5 0.5000 0.5000 0.0000  4 Sr 3.19, 2 Pm 3.26
Pm1 0.7985 0.7985 0.5970  6 Te 3.14-3.19
Pm2 0.2015 0.2015 0.4030  6 Te 3.14-3.19
Pm3 0.3978 0.3978 0.7957  6 Te 3.13-3.26
Pm4 0.6022 0.6022 0.2043  6 Te 3.13-3.26
Sr1 0.0000 0.0000 0.0000  6 Te 3.19-3.26



# 7
A relaxed AgSnAs crystal, computed with PBE.

Properties
Crystal system = trigonal
Symmetry = P3m1
Offset from the most stable computed form = 0 meV/atom
E_form = 78 meV/atom
ρ = 7.20 Mg/m³
Total DFT energy (no corrections) = -11.27 eV/cell
V = 69.5 Å³/f.u.

Unit cell a=4.0181 b=4.0181 c=4.9705 alpha=90.00 beta=90.00 gamma=120.00
Last column: nearest neighbours and their distance in Å.
Positions (direct):
Sn1 0.6667 0.3333 0.3556  3 As 2.79, 3 Ag 2.99
Ag1 0.0000 0.0000 0.9775  3 As 2.79, 3 Sn 2.99
As1 0.3333 0.6667 0.6668  3 Ag 2.79, 3 Sn 2.79



# 8
A relaxed TcPbBr2 crystal, computed with PBE.

Properties
Crystal system = monoclinic
Uncorrected formation energy = 0.02 eV/atom
Symmetry = Cm
Offset from the most stable computed form = 0 meV/atom
ρ = 6.48 Mg/m³
Total DFT energy (no corrections) = -17.35 eV/cell
V = 119.1 Å³/f.u.

Unit cell a=5.3932 b=5.3932 c=7.4870 alpha=69.10 beta=69.10 gamma=36.17
Last column: nearest neighbours and their distance in Å.
Positions (direct):
Br1 0.2549 0.2549 0.3413  2 Tc 2.61
Br2 0.0996 0.0996 0.9087  2 Tc 2.61
Tc1 0.7119 0.7119 0.6251  4 Br 2.61, 3 Pb 2.82-2.85
Pb1 0.4336 0.4336 0.6250  3 Tc 2.82-2.85